Compound: Ho3NiPt
Source: Alexandria
Functional: PBE-GGA
Structure: optimized geometry

Values from the calculation:
- Mass density: 10.40 g/cm3
- VASP energy: -5.756 eV/atom
- Energy relative to the elements: -645 meV/atom

Unit cell a=3.9388 b=6.9248 c=8.7608 alpha=90.00 beta=90.00 gamma=90.00
Last column: nearest neighbours and their distance in Å.
Sites, in units of the cell vectors:
Pt  0.2500  0.7500  0.8321  6 Ho 2.78-2.95
Ho  0.7500  0.9902  0.6693  3 Ni 2.74-2.86, 2 Pt 2.95
Ho  0.7500  0.5098  0.6693  3 Ni 2.74-2.86, 2 Pt 2.95
Ni  0.7500  0.7500  0.4041  7 Ho 2.74-3.05
Ho  0.7500  0.7500  0.0558  2 Pt 2.78, 1 Ni 3.05
Ho  0.2500  0.2500  0.9442  2 Pt 2.78, 1 Ni 3.05
Ho  0.2500  0.0098  0.3307  3 Ni 2.74-2.86, 2 Pt 2.95
Pt  0.7500  0.2500  0.1679  6 Ho 2.78-2.95
Ni  0.2500  0.2500  0.5959  7 Ho 2.74-3.05
Ho  0.2500  0.4902  0.3307  3 Ni 2.74-2.86, 2 Pt 2.95